# 1
# Ti5Zn2Ga GGA-PBE relaxed
# DFT formation energy: -156 meV/atom
# crystal system: tetragonal
# total magnetization: 3.920 μB per formula unit
# DOS(E_F): 7.51 states/eV/f.u.
# VASP energy: -5.787 eV/atom
data_Ti5Zn2Ga
_symmetry_space_group_name_H-M 'I 4/m c m'
_symmetry_Int_Tables_number 140
_symmetry_space_group_name_Hall '-I 4 2c'
_cell_length_a 6.887
_cell_length_b 6.887
_cell_length_c 11.140
_cell_angle_alpha 90.00
_cell_angle_beta 90.00
_cell_angle_gamma 90.00
loop_
_atom_site_label
_atom_site_type_symbol
_atom_site_fract_x
_atom_site_fract_y
_atom_site_fract_z
_atom_site_occupancy
Ti1 Ti 0.000 0.000 0.000 1
Ti2 Ti 0.158 0.342 0.160 1
Zn1 Zn 0.136 0.364 0.500 1
Ga1 Ga 0.000 0.000 0.250 1

***

# 2
# Tl2W GGA-PBE relaxed
# DFT formation energy: 704 meV/atom
# crystal system: monoclinic
# total magnetization: 0.000 μB per formula unit
# DOS(E_F): 1.44 states/eV/f.u.
# VASP energy: -5.192 eV/atom
data_Tl2W
_symmetry_space_group_name_H-M 'C 1 2/m 1'
_symmetry_Int_Tables_number 12
_cell_length_a 12.246
_cell_length_b 3.301
_cell_length_c 8.115
_cell_angle_alpha 90.00
_cell_angle_beta 115.12
_cell_angle_gamma 90.00
loop_
_symmetry_equiv_pos_as_xyz
'x,y,z'
'-x,-y,-z'
'-x,y,-z'
'x,-y,z'
'x+1/2,y+1/2,z'
'-x+1/2,-y+1/2,-z'
'-x+1/2,y+1/2,-z'
'x+1/2,-y+1/2,z'
loop_
_atom_site_label
_atom_site_type_symbol
_atom_site_fract_x
_atom_site_fract_y
_atom_site_fract_z
_atom_site_occupancy
Tl1 Tl 0.040 0.000 0.224 1
Tl2 Tl 0.160 0.500 0.627 1
W1 W 0.184 0.500 0.023 1

***

# 3
# TaTiSb2Pd GGA-PBE relaxed
# formation energy from raw total energies: 0.9601 eV per atom
# crystal system: tetragonal
# total magnetization: 0.000 μB per formula unit
# DOS(E_F): 9.04 states/eV/f.u.
# VASP energy: -5.677 eV/atom
data_TaTiSb2Pd
_symmetry_space_group_name_H-M 'P 4/m m m'
_symmetry_Int_Tables_number 123
_symmetry_space_group_name_Hall '-P 4 2'
_cell_length_a 5.107
_cell_length_b 5.107
_cell_length_c 4.589
_cell_angle_alpha 90.00
_cell_angle_beta 90.00
_cell_angle_gamma 90.00
loop_
_atom_site_label
_atom_site_type_symbol
_atom_site_fract_x
_atom_site_fract_y
_atom_site_fract_z
_atom_site_occupancy
Ta1 Ta 0.000 0.000 0.000 1
Ti1 Ti 0.500 0.500 0.500 1
Sb1 Sb 0.000 0.500 0.500 1
Pd1 Pd 0.500 0.500 0.000 1